The following is a DFT calculation (PBE+U) of an optimized crystal structure of LiNd2FeO5. Values from VASP.

Geometry as Quantum ESPRESSO input:
```
&SYSTEM
  ibrav = 0, nat = 18, ntyp = 4
/
ATOMIC_SPECIES
Li 6.94 Li.upf
Nd 144.24 Nd.upf
Fe 55.84 Fe.upf
O 16.00 O.upf
CELL_PARAMETERS angstrom
1.7180 -6.8738 0.0000
1.7180 6.8738 0.0000
0.0000 0.0000 9.3317
ATOMIC_POSITIONS angstrom
Li 1.7180 3.7823 4.6658
Li 1.7180 -3.7823 0.0000
Nd 1.7180 5.2076 7.4925
Nd 1.7180 5.1162 1.6945
Nd 1.7180 -5.1162 6.3603
Nd 1.7180 -5.2076 2.8266
Fe 1.7180 1.0967 9.1599
Fe 1.7180 -1.0967 4.4941
O 1.7180 6.3811 5.1216
O 1.7180 2.6962 7.9534
O 1.7180 2.5884 1.3557
O 1.7180 1.9458 4.6781
O 1.7180 0.1537 7.3758
O 1.7180 -0.1537 2.7100
O 1.7180 -1.9458 0.0123
O 1.7180 -2.5884 6.0215
O 1.7180 -2.6962 3.2876
O 1.7180 -6.3811 0.4558
```

Computed properties:
As for the mass density: 6.5 g/cm³. The total energy comes out at -0.266 Ha/atom. The total magnetization comes out at 4.991 μB per formula unit.